Record 1
The following is a DFT calculation (GGA-PBE) of MgCd2Ag7Sb2 after structural relaxation.

abc: 4.306 4.306 14.614
angles: 73.26 73.26 90.69
Atoms (fractional coordinates):
Mg 0.000 0.000 0.000
Cd 0.814 0.814 0.688
Cd 0.186 0.186 0.312
Ag 0.500 0.500 0.000
Ag 0.244 0.244 0.500
Ag 0.756 0.756 0.500
Ag 0.851 0.350 0.150
Ag 0.350 0.851 0.150
Ag 0.650 0.149 0.850
Ag 0.149 0.650 0.850
Sb 0.683 0.683 0.315
Sb 0.317 0.317 0.685

Calculated values
Formation energy (no corrections) ... -0.01 eV per atom

Record 2
The following is a DFT calculation (GGA-PBE) of Mg2Sc5CdAg2 after structural relaxation.

abc: 3.528 11.517 11.517
angles: 90.00 90.00 90.00
Atoms (fractional coordinates):
Mg 0.000 0.679 0.179
Mg 0.000 0.321 0.821
Mg 0.000 0.179 0.321
Mg 0.000 0.821 0.679
Sc 0.500 0.200 0.054
Sc 0.500 0.800 0.946
Sc 0.500 0.054 0.800
Sc 0.500 0.700 0.446
Sc 0.500 0.946 0.200
Sc 0.500 0.300 0.554
Sc 0.500 0.554 0.700
Sc 0.500 0.446 0.300
Sc 0.500 0.500 0.000
Sc 0.500 0.000 0.500
Cd 0.000 0.000 0.000
Cd 0.000 0.500 0.500
Ag 0.000 0.131 0.631
Ag 0.000 0.869 0.369
Ag 0.000 0.631 0.869
Ag 0.000 0.369 0.131

Calculated values
Formation enthalpy at 0 K ... -0.7 eV per formula unit

Record 3
The following is a DFT calculation (GGA-PBE) of MgSc4Cd2Ag after structural relaxation.

abc: 4.977 4.977 8.623
angles: 73.23 73.23 60.00
Atoms (fractional coordinates):
Mg 0.000 0.000 0.000
Sc 0.380 0.380 0.861
Sc 0.872 0.872 0.385
Sc 0.128 0.128 0.615
Sc 0.620 0.620 0.139
Cd 0.744 0.744 0.767
Cd 0.256 0.256 0.233
Ag 0.500 0.500 0.500

Calculated values
Formation enthalpy at 0 K ... -1.9 eV per formula unit

Record 4
The following is a DFT calculation (GGA-PBE) of MgScCdAg after structural relaxation.

abc: 4.851 4.851 4.851
angles: 60.00 60.00 60.00
Atoms (fractional coordinates):
Sc 0.500 0.500 0.500
Mg 0.000 0.000 0.000
Ag 0.250 0.250 0.250
Cd 0.750 0.750 0.750

Calculated values
Formation enthalpy at 0 K ... -1.1 eV per formula unit

Record 5
The following is a DFT calculation (GGA-PBE) of Mg2ScCd2Ag2 after structural relaxation.

abc: 4.828 4.828 7.610
angles: 71.50 71.50 60.00
Atoms (fractional coordinates):
Mg 0.141 0.141 0.578
Mg 0.859 0.859 0.422
Sc 0.000 0.000 0.000
Cd 0.586 0.586 0.243
Cd 0.414 0.414 0.757
Ag 0.728 0.728 0.816
Ag 0.272 0.272 0.184

Calculated values
Formation enthalpy at 0 K ... -1.1 eV per formula unit

Record 6
The following is a DFT calculation (GGA-PBE) of SmMgCd5Ag2 after structural relaxation.

abc: 5.147 5.147 8.181
angles: 90.00 90.00 90.00
Atoms (fractional coordinates):
Sm 0.000 0.000 0.500
Mg 0.000 0.000 0.000
Cd 0.000 0.500 0.258
Cd 0.500 0.000 0.258
Cd 0.000 0.500 0.742
Cd 0.500 0.000 0.742
Cd 0.500 0.500 0.500
Ag 0.500 0.500 0.158
Ag 0.500 0.500 0.842

Calculated values
Formation enthalpy at 0 K ... 0.1 eV per formula unit

Calculated values (μB per atom) of M_tot for the records, taken in order: 0.000 0.000 0.000 0.000 0.000 0.000.
Calculated values (eV/cell) of uncorrected energy for the records, taken in order: -31.723 -84.383 -33.479 -12.793 -18.128 -16.503.